1.
# Pr2Y3Ho6

A relaxed structure of Pr2Y3Ho6 (PBE, the Alexandria database).

Cell and atoms, written as POSCAR:
```
Pr2Y3Ho6
1.0
-0.296 -2.230 5.695
-2.580 -5.467 1.017
10.158 -5.864 0.446
Y Ho Pr
3 6 2
Cartesian
-0.951 -2.552 2.243
0.000 0.000 0.000
-1.925 -5.145 4.469
2.438 -2.009 1.537
1.477 -4.575 3.776
6.763 -6.421 1.144
7.424 -6.085 4.605
5.805 -8.985 3.382
0.520 -7.139 6.014
3.310 -6.948 1.851
3.972 -6.613 5.308
```

* crystal system: monoclinic
* DFT total energy: -0.1817 hartree per atom
* ΔH_f (0 K): 0.186 eV per atom
* distance to the lowest polymorph of the same formula: 0.0 kJ/mol of atoms
* magnetization: 0.003 μB per formula unit

***

2.
# Pm2Nd2Se2S3

A relaxed structure of Pm2Nd2Se2S3 (PBE, the Alexandria database).

Cell and atoms, written as POSCAR:
```
Pm2Nd2Se2S3
1.0
-2.178 -5.005 -0.854
-0.476 -0.723 5.456
-5.516 5.875 -2.499
S Nd Se Pm
3 2 2 2
Cartesian
0.000 0.000 0.000
-3.659 1.144 2.629
-4.510 -0.997 -0.526
-2.783 1.225 -0.081
-5.386 -1.078 2.184
-5.451 2.399 -0.158
-2.718 -2.252 2.261
-0.238 -0.362 2.728
-1.089 -2.502 -0.427
```

* crystal system: tetragonal
* DFT total energy: -0.2202 hartree per atom
* formation energy without anion corrections: -1726 meV/atom
* magnetization: 0.000 μB per formula unit

***

3.
# PrTm3Rh

A relaxed structure of PrTm3Rh (PBE, the Alexandria database).

Cell and atoms, written as POSCAR:
```
PrTm3Rh
1.0
-5.490 -4.893 -0.814
6.565 -3.063 -1.508
0.684 2.540 6.656
Pr Rh Tm
2 2 6
Cartesian
4.937 -3.678 -0.152
-3.178 -1.738 4.487
1.484 -4.461 0.932
0.275 -0.956 3.403
2.037 -1.846 1.213
-3.885 -3.536 1.334
5.644 -1.880 3.001
-0.876 -4.412 -0.328
2.634 -1.005 4.663
-0.279 -3.570 3.122
```

* crystal system: monoclinic
* DFT total energy: -0.2008 hartree per atom
* ΔH_f (0 K): -0.354 eV per atom
* distance to the lowest polymorph of the same formula: 0.0 kJ/mol of atoms
* magnetization: 0.398 μB per formula unit

***

4.
# AlGaBi2H

A relaxed structure of AlGaBi2H (PBE, the Alexandria database).

Cell and atoms, written as POSCAR:
```
AlGaBi2H
1.0
-5.079 2.456 -1.235
0.985 -0.796 -5.635
-1.505 -3.030 0.165
Bi Al H Ga
2 1 1 1
Cartesian
0.493 -0.398 -2.817
-2.540 1.228 -0.618
0.000 0.000 0.000
-0.753 -1.515 0.083
-2.800 -0.685 -3.352
```

* crystal system: tetragonal
* DFT total energy: -0.1257 hartree per atom
* distance to the lowest polymorph of the same formula: 0.0 kJ/mol of atoms
* magnetization: 0.000 μB per formula unit

***

5.
# KCuBiO3

A relaxed structure of KCuBiO3 (PBE, the Alexandria database).

Cell and atoms, written as POSCAR:
```
KCuBiO3
1.0
-3.373 -0.392 -1.307
1.890 -6.694 2.195
-3.214 1.650 7.799
K Cu O Bi
2 2 6 2
Cartesian
-0.675 -3.927 2.921
-4.021 -1.509 5.767
-2.253 -4.077 7.039
-2.443 -1.359 1.649
-2.304 -6.070 2.703
-2.392 0.634 5.984
-2.920 -3.838 8.690
-1.776 -1.597 -0.003
-3.117 -0.909 3.253
-1.579 -4.527 5.435
0.000 0.000 0.000
-1.607 0.825 3.900
```

* crystal system: orthorhombic
* DFT total energy: -0.1838 hartree per atom
* formation energy without anion corrections: -1011 meV/atom
* magnetization: 0.000 μB per formula unit

***

6.
# Tl2SbAs2

A relaxed structure of Tl2SbAs2 (PBE, the Alexandria database).

Cell and atoms, written as POSCAR:
```
Tl2SbAs2
1.0
4.326 0.000 0.000
0.000 4.326 0.000
2.163 2.163 7.376
As Sb Tl
2 1 2
Cartesian
2.163 2.163 1.214
4.326 4.326 6.163
0.000 0.000 0.000
4.326 2.163 3.688
2.163 4.326 3.688
```

* crystal system: tetragonal
* DFT total energy: -0.1224 hartree per atom
* formation energy without anion corrections: 300 meV/atom
* distance to the lowest polymorph of the same formula: 20.9 kJ/mol of atoms
* magnetization: 0.000 μB per formula unit

***

7.
# SrPm2Pa3N8

A relaxed structure of SrPm2Pa3N8 (PBE, the Alexandria database).

Cell and atoms, written as POSCAR:
```
SrPm2Pa3N8
1.0
7.122 0.000 0.000
3.561 6.168 0.000
3.561 2.056 5.759
N Pa Sr Pm
8 3 1 2
Cartesian
7.122 2.374 1.190
3.561 2.056 1.191
10.684 6.168 4.695
8.628 4.981 1.190
5.617 4.981 1.190
8.730 3.184 4.549
7.122 5.969 4.549
5.514 3.184 4.549
7.122 6.148 0.012
8.886 3.094 0.012
5.359 3.094 0.012
10.684 6.168 2.098
3.561 2.056 3.684
7.122 4.112 2.877
```

* crystal system: trigonal
* DFT total energy: -0.3308 hartree per atom
* formation energy without anion corrections: -1410 meV/atom
* magnetization: 0.000 μB per formula unit

***

8.
# H7Pd3Pt

A relaxed structure of H7Pd3Pt (PBE, the Alexandria database).

Cell and atoms, written as POSCAR:
```
H7Pd3Pt
1.0
-2.774 3.629 -3.001
-3.636 -3.295 2.408
-0.249 3.812 4.840
Pd H Pt
6 14 2
Cartesian
-3.205 0.167 -0.297
-4.654 2.933 -0.587
-3.330 2.073 2.123
-2.007 1.212 4.833
-5.209 1.380 4.537
-1.451 2.767 -0.290
-3.385 0.181 1.647
-3.740 0.239 5.510
-2.921 3.907 -1.264
-3.506 2.119 4.042
-5.019 2.959 1.205
-4.901 1.182 -1.052
-3.155 2.028 0.204
-1.643 1.187 3.040
-1.303 0.995 -0.717
-1.758 2.964 5.297
-1.421 2.772 1.539
-5.356 3.152 4.965
-3.276 3.965 2.600
-5.241 1.375 2.708
-6.411 0.334 -0.594
-0.125 1.906 2.420
```

* crystal system: orthorhombic
* DFT total energy: -0.1508 hartree per atom
* magnetization: 0.000 μB per formula unit

***

DFT total energy of number 6 (Tl2SbAs2)? -0.1224 hartree per atom